No. 1
## Sm2Ni2B2CN (PBE-GGA)

Data for an optimized crystal structure of Sm2Ni2B2CN.

The raw total energy comes out at -7.170 eV per atom. The space group is P4mm, No. 99. For the calculated volume, the calculation gives 12.40 A^3/atom.

Lattice parameters (Å, degrees): 3.641 3.641 7.484 90.00 90.00 90.00
Element x y z (fractional)
1 Sm 0.000 0.000 0.000
2 Sm 0.500 0.500 0.339
3 Ni 0.000 0.500 0.663
4 Ni 0.500 0.000 0.663
5 B 0.000 0.000 0.518
6 B 0.500 0.500 0.807
7 C 0.500 0.500 0.007
8 N 0.000 0.000 0.324

---

No. 2
## ScBeFeSb (PBE-GGA)

Data for an optimized crystal structure of ScBeFeSb.

The raw total energy comes out at -5.416 eV per atom. The space group is F-43m, No. 216. For the calculated volume, the calculation gives 16.06 A^3/atom.

Lattice parameters (Å, degrees): 4.495 4.495 4.495 60.00 60.00 60.00
Element x y z (fractional)
1 Sc 0.000 0.000 0.000
2 Be 0.500 0.500 0.500
3 Fe 0.250 0.250 0.250
4 Sb 0.750 0.750 0.750

---

No. 3
## ZnF2 (PBE-GGA)

Data for an optimized crystal structure of ZnF2.

The raw total energy comes out at -3.806 eV per atom. The space group is P-1, No. 2. For the calculated volume, the calculation gives 14.92 A^3/atom.

Lattice parameters (Å, degrees): 3.940 4.881 5.235 91.37 108.86 108.34
Element x y z (fractional)
1 Zn 0.094 0.321 0.314
2 Zn 0.906 0.679 0.686
3 F 0.000 0.000 0.500
4 F 0.000 0.500 0.000
5 F 0.381 0.637 0.654
6 F 0.619 0.363 0.346

---

No. 4
## CdInW2 (PBE-GGA)

Data for an optimized crystal structure of CdInW2.

The raw total energy comes out at -6.659 eV per atom. The space group is F-43m, No. 216. For the calculated volume, the calculation gives 18.15 A^3/atom.

Lattice parameters (Å, degrees): 4.683 4.683 4.683 60.00 60.00 60.00
Element x y z (fractional)
1 Cd 0.000 0.000 0.000
2 In 0.750 0.750 0.750
3 W 0.250 0.250 0.250
4 W 0.500 0.500 0.500